Below is Rb3BaCu after structural relaxation, with properties calculated at the PBE level.

a = 6.911 Å, b = 6.911 Å, c = 6.911 Å
α = 90.00°, β = 90.00°, γ = 90.00°
Site moments in Bohr magnetons follow the coordinates.
Fractional coordinates of all 5 atoms:
Cu1 0.000 0.000 0.000  0.01
Ba1 0.500 0.500 0.500  0.13
Rb1 0.000 0.500 0.000  0.02
Rb2 0.000 0.000 0.500  0.02
Rb3 0.500 0.000 0.000  0.02

## Properties
- relative energy among the computed polymorphs (meV/atom) = 0
- formation energy (eV/atom) = 0.35
- theoretical density (Mg/m³) = 2.3
- SG = Pm-3m